1.
First-principles (PBE) data for a relaxed structure of Cu3Ni12Mo, as listed in the Alexandria database.

```
16
Lattice="3.5716 0.0000 0.0000 0.0000 3.5716 0.0000 0.0000 0.0000 14.1873" Properties=species:S:1:pos:R:3 pbc="T T T"
Ni 0.0000 1.7858 5.3414
Ni 1.7858 1.7858 0.0000
Ni 1.7858 1.7858 3.5870
Ni 0.0000 1.7858 1.8004
Ni 1.7858 0.0000 1.8004
Ni 0.0000 1.7858 8.8458
Ni 1.7858 1.7858 7.0936
Cu 0.0000 0.0000 10.5860
Ni 1.7858 0.0000 5.3414
Ni 1.7858 0.0000 12.3869
Cu 0.0000 0.0000 7.0936
Ni 1.7858 0.0000 8.8458
Ni 0.0000 1.7858 12.3869
Mo 0.0000 0.0000 0.0000
Ni 1.7858 1.7858 10.6003
Cu 0.0000 0.0000 3.6012
```

Energy relative to the elements, eV/atom: 0.00
Magnetic moment, μB/cell: 3.7

2.
First-principles (PBE) data for a relaxed structure of Cu2Ni15Mo2, as listed in the Alexandria database.

```
19
Lattice="-4.8109 -2.3167 -3.1064 1.4006 -5.9979 0.4740 -3.6091 -1.4104 4.8111" Properties=species:S:1:pos:R:3 pbc="T T T"
Ni -2.2725 -5.3025 2.9838
Ni -0.2502 -4.4862 1.9031
Ni -2.8678 -5.7514 -0.9382
Ni -4.1515 -3.9735 3.1168
Ni -5.3494 -3.4790 1.2102
Ni -4.4148 -2.0180 -0.4975
Cu -6.3345 -8.7761 1.9661
Ni -2.7641 -3.5297 -1.9266
Ni -1.9583 -2.9220 3.3819
Ni -1.6700 -6.2460 0.9684
Mo -4.2806 -5.9305 1.3286
Ni -1.8045 -0.7052 2.4055
Ni -0.6462 -4.7849 -0.7058
Ni -4.0051 -1.7090 2.2021
Mo -2.7388 -3.7945 0.8501
Ni -2.4054 -1.1583 -1.5532
Ni -4.7469 -4.4225 -0.8051
Cu -0.6849 -0.9489 0.2126
Ni 0.7003 -2.9990 0.2370
```

Energy relative to the elements, eV/atom: 0.16
Magnetic moment, μB/cell: 3.2

no.,total energy (eV per atom)
1,-5.779
2,-5.979